## BIr2O (GGA-PBE)

Data for an optimized crystal structure of BIr2O.

abc: 5.532 5.532 5.532
angles: 90.00 90.00 90.00
Space group Fm-3m (No. 225)
Asymmetric unit:
B: 0.000 0.000 0.000 [4 per cell]
Ir: 0.250 0.250 0.250 [8 per cell]
O: 0.000 0.000 0.500 [4 per cell]

## Properties
Uncorrected formation energy: 2.02 eV per formula unit
Polymorph energy (0 for the lowest one): 0.280 eV per atom
V: 169.29 Å³ per cell
Energy: -6.84 eV per atom
Crystal system: cubic